Entry from Alexandria: a relaxed Li2SiAu2 crystal (PBE-GGA).

abc: 7.731 7.731 4.801
angles: 95.65 95.65 33.81
Positions (direct):
Li  0.047  0.047  0.256
Li  0.244  0.244  0.311
Li  0.756  0.756  0.689
Li  0.953  0.953  0.744
Si  0.422  0.422  0.399
Si  0.578  0.578  0.601
Au  0.137  0.137  0.774
Au  0.349  0.349  0.846
Au  0.651  0.651  0.154
Au  0.863  0.863  0.226

## Properties
Formation energy (no corrections) (kcal/mol of atoms): -9.93
ΔE to the lowest computed polymorph (eV per formula unit): 0.00
Electronic total energy (eV per formula unit): -17.96
Volume (Å³ per atom): 15.89